# 1
GGA-PBE Y6Tl3SeS2, optimized geometry; space group = No. 12; formation energy without anion corrections = -1.15 eV per atom
1.0
-5.7339 1.9476 -2.9291
0.4180 -6.0823 2.8427
-0.7268 4.4124 6.9134
S Y Se Tl
2 6 1 3
Cartesian
-3.6889 -0.7217 -1.0104
-1.6270 -3.4130 0.9240
-3.5657 -1.0245 6.3892
-5.6673 1.7186 4.4175
-2.4770 1.3022 0.4377
-4.0042 -2.0929 1.3562
-2.0385 2.3706 5.4708
-0.3754 -1.4409 2.4095
0.0000 0.0000 0.0000
-0.9336 -2.5862 5.3722
-5.1091 2.8639 1.4548
-3.0214 0.1388 3.4135

# 2
GGA-PBE Sm2Er5Tm2, optimized geometry; space group = No. 46; energy above the most stable polymorph in this dataset = 0.0000 eV/atom
1.0
11.6731 0.0000 0.0000
0.0000 6.6617 0.0000
-5.8366 -3.3309 7.4028
Er Tm Sm
10 4 4
Cartesian
-2.8957 -0.6701 3.7014
2.7717 -0.6962 5.2978
-2.8233 1.3825 6.6177
2.7717 -0.6962 2.1049
8.7323 2.6608 3.7014
-3.0133 -1.9483 6.6177
3.0649 2.6346 2.1049
8.8498 1.3825 0.7850
8.6598 4.7134 0.7850
3.0649 2.6346 5.2978
-0.0752 3.7177 5.5229
5.9118 0.3868 1.8799
-0.0752 3.7177 1.8799
5.9118 0.3868 5.5229
5.6959 4.0540 3.7014
0.1407 0.7232 3.7014
0.0000 0.0390 0.0000
5.8366 3.3699 0.0000

# 3
GGA-PBE Ac5IrPd2O, optimized geometry; space group = No. 36; formation energy without anion corrections = -1.12 eV per atom
1.0
4.3230 0.0000 0.0000
-2.1615 9.3084 0.0000
0.0000 0.0000 13.6579
Ac O Pd Ir
10 2 4 2
Cartesian
0.0000 0.7579 0.0685
2.1615 3.8936 2.4429
2.1615 3.5572 12.0367
0.0000 9.2617 10.4731
0.0000 5.4148 9.2718
2.1615 2.6670 7.0302
2.1615 0.0466 3.6442
0.0000 5.7511 5.2077
2.1615 8.5504 6.8975
0.0000 6.6414 0.2012
2.1615 1.0094 12.6263
0.0000 8.2989 5.7973
0.0000 1.9991 9.3412
0.0000 2.2542 4.6148
2.1615 7.3092 2.5123
2.1615 7.0542 11.4438
0.0000 3.7379 0.4227
2.1615 5.5705 7.2517

# 4
GGA-PBE AlPd3O6, optimized geometry; space group = No. 65; formation energy without anion corrections = -0.90 eV per atom
1.0
3.1108 0.0000 0.0000
0.0000 5.8649 -1.9292
0.0000 0.0131 6.1740
Pd O Al
3 6 1
Cartesian
1.5554 2.9324 -0.9646
0.0000 0.0000 0.0000
1.5554 0.0066 3.0870
0.0000 3.9010 4.3223
0.0000 1.9770 -0.0775
0.0000 0.5482 1.9011
0.0000 5.3298 2.3438
1.5554 2.2135 3.1270
1.5554 3.6645 1.1178
0.0000 2.9390 2.1224

# 5
GGA-PBE TaBe2F, optimized geometry; space group = No. 225; energy above the most stable polymorph in this dataset = 0.6936 eV/atom; formation energy without anion corrections = 0.57 eV per atom
1.0
0.0000 2.9216 2.9216
2.9216 0.0000 2.9216
2.9216 2.9216 0.0000
F Be Ta
1 2 1
Cartesian
0.0000 0.0000 0.0000
1.4608 1.4608 1.4608
4.3824 4.3824 4.3824
2.9216 2.9216 2.9216

# 6
GGA-PBE Be2SbW, optimized geometry; space group = No. 123; formation energy without anion corrections = 0.62 eV per atom
1.0
-2.6599 0.1571 -0.9427
-0.8663 -1.5737 2.1821
-1.1220 6.5120 4.2510
Be Sb W
2 1 1
Cartesian
-1.0734 6.2297 4.0668
-0.6096 3.5382 2.3098
-2.0436 0.9197 1.6824
-2.6046 4.1757 3.8080

Number 1: energy -5.9562 eV/atom. Number 2: energy -4.3504 eV/atom. Number 3: energy -6.0959 eV/atom. Number 4: energy -5.8088 eV/atom. Number 5: energy -4.7265 eV/atom. Number 6: energy -5.5071 eV/atom.